P.
The following is a DFT calculation (PBE) of crystalline Ti2ZnCoH at its relaxed geometry.

space-group type: P4/mmm (123)
N(E_F): 5.28 states/eV per cell

Geometry as extended XYZ:
```
5
Lattice="3.9336 0.0000 0.0000 0.0000 3.9336 0.0000 0.0000 0.0000 3.7967" Properties=species:S:1:pos:R:3 pbc="T T T"
Ti 0.0000 1.9668 0.0000
Ti 1.9668 0.0000 0.0000
Zn 0.0000 0.0000 1.8983
Co 1.9668 1.9668 1.8983
H 0.0000 0.0000 0.0000
```


Q.
The following is a DFT calculation (PBE) of crystalline Ti2ZnCoH at its relaxed geometry.

space-group type: P4/mmm (123)
N(E_F): 4.29 states/eV per cell

Geometry as extended XYZ:
```
5
Lattice="4.1307 0.0000 0.0000 0.0000 4.1307 0.0000 0.0000 0.0000 3.4563" Properties=species:S:1:pos:R:3 pbc="T T T"
Ti 0.0000 2.0654 0.0000
Ti 2.0654 0.0000 0.0000
Zn 0.0000 0.0000 1.7282
Co 2.0654 2.0654 1.7282
H 2.0654 2.0654 0.0000
```


Computed relative energies in units of eV/atom: P 0.133; Q 0.000


P.
The following is a DFT calculation (PBE) of crystalline TlCo3H at its relaxed geometry.

space-group type: Pm-3m (221)
N(E_F): 8.08 states/eV per cell

Geometry as extended XYZ:
```
5
Lattice="3.8092 0.0000 0.0000 0.0000 3.8092 0.0000 0.0000 0.0000 3.8092" Properties=species:S:1:pos:R:3 pbc="T T T"
Tl 0.0000 0.0000 0.0000
Co 0.0000 1.9046 1.9046
Co 1.9046 0.0000 1.9046
Co 1.9046 1.9046 0.0000
H 1.9046 1.9046 1.9046
```


Q.
The following is a DFT calculation (PBE) of crystalline TlCo3H at its relaxed geometry.

space-group type: Pm-3m (221)
N(E_F): 8.40 states/eV per cell

Geometry as extended XYZ:
```
5
Lattice="4.9355 0.0000 0.0000 0.0000 4.9355 0.0000 0.0000 0.0000 4.9355" Properties=species:S:1:pos:R:3 pbc="T T T"
Tl 0.0000 0.0000 0.0000
Co 0.0000 0.0000 2.4678
Co 0.0000 2.4678 0.0000
Co 2.4678 0.0000 0.0000
H 2.4678 2.4678 2.4678
```


Computed relative energies in units of eV/atom: P 0.000; Q 1.897


P.
The following is a DFT calculation (PBE) of crystalline TmCoH at its relaxed geometry.

space-group type: Cmce (64)
N(E_F): 8.07 states/eV per cell

Geometry as extended XYZ:
```
12
Lattice="1.9155 -6.9261 0.0000 1.9155 6.9261 0.0000 0.0000 0.0000 6.4967" Properties=species:S:1:pos:R:3 pbc="T T T"
Tm 1.9155 5.0340 6.3564
Tm 1.9155 1.8921 3.1081
Tm 1.9155 -1.8921 3.3887
Tm 1.9155 -5.0340 0.1403
Co 1.9155 6.7973 2.1556
Co 1.9155 0.1288 5.4040
Co 1.9155 -0.1288 1.0928
Co 1.9155 -6.7973 4.3411
H 1.9155 3.9573 4.0544
H 1.9155 2.9688 0.8060
H 1.9155 -2.9688 5.6907
H 1.9155 -3.9573 2.4423
```


Q.
The following is a DFT calculation (PBE) of crystalline TmCoH at its relaxed geometry.

space-group type: P-6m2 (187)
N(E_F): 1.98 states/eV per cell

Geometry as extended XYZ:
```
3
Lattice="3.5781 0.0000 0.0000 -1.7891 3.0987 0.0000 0.0000 0.0000 3.5429" Properties=species:S:1:pos:R:3 pbc="T T T"
Tm 0.0000 0.0000 0.0000
Co 1.7891 1.0329 1.7714
H 0.0000 2.0658 1.7714
```


Computed relative energies in units of eV/atom: P 0.000; Q 0.391


P.
The following is a DFT calculation (PBE) of crystalline TmCo2H6 at its relaxed geometry.

space-group type: C2/m (12)
N(E_F): 4.60 states/eV per cell

Geometry as extended XYZ:
```
9
Lattice="4.0524 -1.7623 0.0000 4.0524 1.7623 0.0000 -3.0386 0.0000 5.0562" Properties=species:S:1:pos:R:3 pbc="T T T"
Tm 0.0000 0.0000 0.0000
Co -0.2789 0.0000 3.0376
Co 5.3450 0.0000 2.0186
H -1.8451 0.0000 3.3542
H 1.1212 0.0000 2.0595
H -0.2190 0.0000 4.6241
H 5.2851 0.0000 0.4321
H 3.9449 0.0000 2.9967
H 6.9112 0.0000 1.7020
```


Q.
The following is a DFT calculation (PBE) of crystalline TmCo2H6 at its relaxed geometry.

space-group type: P6/mmm (191)
N(E_F): 3.35 states/eV per cell

Geometry as extended XYZ:
```
9
Lattice="4.3121 0.0000 0.0000 -2.1560 3.7344 0.0000 0.0000 0.0000 4.0306" Properties=species:S:1:pos:R:3 pbc="T T T"
Tm 0.0000 0.0000 0.0000
Co 0.0000 2.4896 2.0153
Co 2.1560 1.2448 2.0153
H -1.0780 1.8672 0.9566
H -1.0780 1.8672 3.0740
H 2.1560 0.0000 0.9566
H 2.1560 0.0000 3.0740
H 1.0780 1.8672 0.9566
H 1.0780 1.8672 3.0740
```


Computed relative energies in units of eV/atom: P 0.110; Q 0.000


P.
The following is a DFT calculation (PBE) of crystalline UCoH at its relaxed geometry.

space-group type: P3m1 (156)
N(E_F): 2.54 states/eV per cell

Geometry as extended XYZ:
```
3
Lattice="3.2722 0.0000 0.0000 -1.6361 2.8338 0.0000 0.0000 0.0000 3.8650" Properties=species:S:1:pos:R:3 pbc="T T T"
U 0.0000 0.0000 0.0000
Co 1.6361 0.9446 1.9294
H 0.0000 1.8892 1.9351
```


Q.
The following is a DFT calculation (PBE) of crystalline UCoH at its relaxed geometry.

space-group type: C2/m (12)
N(E_F): 16.59 states/eV per cell

Geometry as extended XYZ:
```
12
Lattice="5.6694 0.0000 0.0000 0.0000 5.6800 0.0000 -2.6915 0.0000 4.4376" Properties=species:S:1:pos:R:3 pbc="T T T"
U -0.0236 0.0000 1.8871
U 0.1668 2.8400 2.5504
U 2.8111 2.8400 1.8871
U 3.0015 0.0000 2.5504
Co 1.4174 1.4200 0.0000
Co 1.4174 4.2600 0.0000
Co 4.2521 1.4200 0.0000
Co 4.2521 4.2600 0.0000
H -1.7784 2.8400 3.8475
H 1.9216 0.0000 0.5901
H 1.0563 0.0000 3.8475
H 4.7564 2.8400 0.5901
```


Computed relative energies in units of eV/atom: P 0.043; Q 0.000


P.
The following is a DFT calculation (PBE) of crystalline VCo2H2 at its relaxed geometry.

space-group type: I4/mmm (139)
N(E_F): 9.79 states/eV per cell

Geometry as extended XYZ:
```
10
Lattice="3.1027 0.0000 0.0000 0.0000 3.1027 0.0000 0.0000 0.0000 8.0236" Properties=species:S:1:pos:R:3 pbc="T T T"
V 0.0000 0.0000 0.0000
V 1.5514 1.5514 4.0118
Co 0.0000 0.0000 2.7697
Co 0.0000 0.0000 5.2539
Co 1.5514 1.5514 1.2421
Co 1.5514 1.5514 6.7815
H 0.0000 1.5514 2.0059
H 0.0000 1.5514 6.0177
H 1.5514 0.0000 2.0059
H 1.5514 0.0000 6.0177
```


Q.
The following is a DFT calculation (PBE) of crystalline VCo2H2 at its relaxed geometry.

space-group type: P4/mbm (127)
N(E_F): 5.23 states/eV per cell

Geometry as extended XYZ:
```
10
Lattice="5.5616 0.0000 0.0000 0.0000 5.5616 0.0000 0.0000 0.0000 2.6026" Properties=species:S:1:pos:R:3 pbc="T T T"
V 0.0000 0.0000 0.0000
V 2.7808 2.7808 0.0000
Co 0.8251 1.9557 1.3013
Co 1.9557 4.7365 1.3013
Co 3.6059 0.8251 1.3013
Co 4.7365 3.6059 1.3013
H 1.1953 3.9761 0.0000
H 1.5855 1.1953 0.0000
H 3.9761 4.3663 0.0000
H 4.3663 1.5855 0.0000
```


R.
The following is a DFT calculation (PBE) of crystalline VCo2H2 at its relaxed geometry.

space-group type: P-3m1 (164)
N(E_F): 4.41 states/eV per cell

Geometry as extended XYZ:
```
5
Lattice="2.6310 0.0000 0.0000 -1.3155 2.2785 0.0000 0.0000 0.0000 6.4394" Properties=species:S:1:pos:R:3 pbc="T T T"
V 0.0000 0.0000 0.0000
Co 0.0000 1.5190 2.2302
Co 1.3155 0.7595 4.2092
H 0.0000 1.5190 5.2332
H 1.3155 0.7595 1.2063
```


Computed relative energies in units of eV/atom: P 0.034; Q 0.152; R 0.000


P.
The following is a DFT calculation (PBE) of crystalline VCoH2 at its relaxed geometry.

space-group type: R3m (160)
N(E_F): 10.92 states/eV per cell

Geometry as extended XYZ:
```
12
Lattice="2.6639 0.0000 0.0000 -1.3319 2.3070 0.0000 0.0000 0.0000 13.9412" Properties=species:S:1:pos:R:3 pbc="T T T"
V 0.0000 0.0000 0.0000
V 0.0000 1.5380 9.2941
V 1.3319 0.7690 4.6471
Co 0.0000 0.0000 11.5400
Co 0.0000 1.5380 6.8929
Co 1.3319 0.7690 2.2459
H 0.0000 0.0000 3.3265
H 0.0000 0.0000 5.8799
H 0.0000 1.5380 1.2328
H 0.0000 1.5380 12.6206
H 1.3319 0.7690 7.9736
H 1.3319 0.7690 10.5270
```


Q.
The following is a DFT calculation (PBE) of crystalline VCoH2 at its relaxed geometry.

space-group type: Fm-3m (225)
N(E_F): 7.05 states/eV per cell

Geometry as extended XYZ:
```
16
Lattice="4.8986 0.0000 0.0000 0.0000 4.8986 0.0000 0.0000 0.0000 4.8986" Properties=species:S:1:pos:R:3 pbc="T T T"
V 0.0000 0.0000 0.0000
V 0.0000 2.4493 2.4493
V 2.4493 0.0000 2.4493
V 2.4493 2.4493 0.0000
Co 0.0000 0.0000 2.4493
Co 0.0000 2.4493 0.0000
Co 2.4493 0.0000 0.0000
Co 2.4493 2.4493 2.4493
H 1.2246 1.2246 1.2246
H 1.2246 1.2246 3.6739
H 1.2246 3.6739 1.2246
H 1.2246 3.6739 3.6739
H 3.6739 1.2246 1.2246
H 3.6739 1.2246 3.6739
H 3.6739 3.6739 1.2246
H 3.6739 3.6739 3.6739
```


Computed relative energies in units of eV/atom: P 0.000; Q 0.283


P.
The following is a DFT calculation (PBE) of crystalline VCoH2 at its relaxed geometry.

space-group type: I-42d (122)
N(E_F): 9.58 states/eV per cell

Geometry as extended XYZ:
```
16
Lattice="3.8951 0.0000 0.0000 0.0000 3.8951 0.0000 0.0000 0.0000 7.9261" Properties=species:S:1:pos:R:3 pbc="T T T"
V 0.0000 0.0000 0.0000
V 0.0000 1.9476 1.9815
V 1.9476 0.0000 5.9446
V 1.9476 1.9476 3.9630
Co 0.0000 0.0000 3.9630
Co 0.0000 1.9476 5.9446
Co 1.9476 0.0000 1.9815
Co 1.9476 1.9476 0.0000
H 0.8404 0.9738 4.9538
H 0.9738 2.7880 6.9353
H 0.9738 3.0547 2.9723
H 1.1072 0.9738 0.9908
H 2.7880 2.9213 0.9908
H 2.9213 0.8404 2.9723
H 2.9213 1.1072 6.9353
H 3.0547 2.9213 4.9538
```


Q.
The following is a DFT calculation (PBE) of crystalline VCoH2 at its relaxed geometry.

space-group type: R-3m (166)
N(E_F): 8.62 states/eV per cell

Geometry as extended XYZ:
```
12
Lattice="2.7087 0.0000 0.0000 -1.3543 2.3458 0.0000 0.0000 0.0000 14.0837" Properties=species:S:1:pos:R:3 pbc="T T T"
V 0.0000 0.0000 0.0000
V 0.0000 1.5639 9.3891
V 1.3543 0.7819 4.6946
Co 0.0000 0.0000 7.0419
Co 0.0000 1.5639 2.3473
Co 1.3543 0.7819 11.7364
H 0.0000 0.0000 1.7795
H 0.0000 0.0000 12.3042
H 0.0000 1.5639 7.6097
H 0.0000 1.5639 11.1686
H 1.3543 0.7819 2.9151
H 1.3543 0.7819 6.4740
```


Computed relative energies in units of eV/atom: P 0.000; Q 0.118